(1)
12
Lattice="3.154 -5.466 0.000 3.154 5.466 0.000 -2.103 0.000 11.711" Properties=species:S:1:pos:R:3 comment="La2Tb6CePr3 (GGA-PBE, relaxed)" magnetic_moment_mub_per_fu=1.10 n_ef_per_ev_fu=19.358 delta_e_f_ev_per_fu=0.38 pbc="T T T"
La 3.154 3.647 0.000
La 3.154 -3.647 0.000
Tb 0.010 1.805 8.800
Tb 1.070 0.000 2.913
Tb 0.010 -1.805 8.800
Tb 4.194 1.805 2.912
Tb 3.135 0.000 8.798
Tb 4.194 -1.805 2.912
Ce 3.154 0.000 0.000
Pr -1.051 0.000 5.856
Pr 2.102 1.826 5.856
Pr 2.102 -1.826 5.856

(2)
14
Lattice="4.915 2.838 6.074 -4.915 2.838 6.074 0.000 -5.676 6.074" Properties=species:S:1:pos:R:3 comment="AcPr3Sm3 (GGA-PBE, relaxed)" magnetic_moment_mub_per_fu=0.00 n_ef_per_ev_fu=11.225 e_above_lowest_polymorph_mev_per_atom=0.0 delta_e_f_ev_per_fu=0.17 pbc="T T T"
Ac 0.000 0.000 4.528
Ac 0.000 0.000 13.694
Pr -1.381 -1.640 7.604
Pr -2.111 0.376 10.617
Pr -0.730 2.016 7.604
Pr 0.730 -2.016 10.617
Pr 2.111 -0.376 7.604
Pr 1.381 1.640 10.617
Sm -4.214 0.828 7.561
Sm -2.824 -3.235 10.661
Sm 1.390 -4.064 7.561
Sm -1.390 4.064 10.661
Sm 2.824 3.235 7.561
Sm 4.214 -0.828 10.661